No. 1
# Li2ThUSe4

An optimized crystal structure of Li2ThUSe4 (PBE-GGA, Alexandria via LeMat-Bulk).

Formation energy without anion corrections ... -1.326 eV per atom
Total magnetization ... 0.4488 μB/atom
Total energy ... -5.885 eV per atom

Unit cell a=4.055 b=7.054 c=7.078 alpha=109.25 beta=90.00 gamma=90.00
Last column: magnetic moment on the atom in μB.
Element x y z (fractional)
Li1 0.500 0.000 0.500  0.00
Li2 0.000 0.500 0.500  0.00
Th1 0.000 0.000 0.000  0.27
U1 0.500 0.500 0.000  2.74
Se1 0.500 0.259 0.268  -0.01
Se2 0.500 0.741 0.732  -0.01
Se3 0.000 0.249 0.737  -0.03
Se4 0.000 0.751 0.263  -0.03

No. 2
# Li3ThU2Se6

An optimized crystal structure of Li3ThU2Se6 (PBE-GGA, Alexandria via LeMat-Bulk).

Formation energy without anion corrections ... -1.279 eV per atom
Total magnetization ... 0.5665 μB/atom
Total energy ... -6.000 eV per atom

Unit cell a=7.013 b=7.013 c=7.070 alpha=99.51 beta=99.51 gamma=119.99
Last column: magnetic moment on the atom in μB.
Element x y z (fractional)
Li1 0.166 0.834 0.500  0.00
Li2 0.834 0.166 0.500  0.00
Li3 0.500 0.500 0.500  0.00
Th1 0.000 0.000 0.000  0.35
U1 0.333 0.667 0.000  2.73
U2 0.667 0.333 0.000  2.73
Se1 0.912 0.574 0.737  -0.03
Se2 0.750 0.750 0.264  -0.03
Se3 0.088 0.426 0.263  -0.03
Se4 0.574 0.912 0.737  -0.03
Se5 0.250 0.250 0.736  -0.03
Se6 0.426 0.088 0.263  -0.03

No. 3
# Li3Y4ThSe8

An optimized crystal structure of Li3Y4ThSe8 (PBE-GGA, Alexandria via LeMat-Bulk).

Formation energy without anion corrections ... -1.684 eV per atom
Total magnetization ... 0.0000 μB/atom
Total energy ... -5.865 eV per atom

Unit cell a=8.127 b=8.148 c=8.127 alpha=119.91 beta=120.00 gamma=90.00
Element x y z (fractional)
Li1 0.500 0.500 0.000
Li2 0.500 0.500 0.500
Li3 0.000 0.500 0.500
Y1 0.500 0.000 0.000
Y2 0.500 0.000 0.500
Y3 0.000 0.000 0.000
Y4 0.000 0.000 0.500
Th1 0.000 0.500 0.000
Se1 0.253 0.745 0.992
Se2 0.253 0.745 0.506
Se3 0.251 0.253 0.502
Se4 0.739 0.745 0.992
Se5 0.261 0.255 0.008
Se6 0.749 0.747 0.498
Se7 0.747 0.255 0.494
Se8 0.747 0.255 0.008

No. 4
# LiYTh2Se4

An optimized crystal structure of LiYTh2Se4 (PBE-GGA, Alexandria via LeMat-Bulk).

Formation energy without anion corrections ... -1.585 eV per atom
Total magnetization ... 0.0000 μB/atom
Total energy ... -6.229 eV per atom

Unit cell a=3.975 b=6.870 c=7.529 alpha=107.44 beta=90.00 gamma=90.00
Element x y z (fractional)
Li1 0.500 0.500 0.000
Y1 0.000 0.000 0.000
Th1 0.500 0.000 0.500
Th2 0.000 0.500 0.500
Se1 0.500 0.253 0.228
Se2 0.500 0.747 0.772
Se3 0.000 0.265 0.773
Se4 0.000 0.735 0.227